1.
Compound: KHgF3
Source: the Alexandria database
Functional: PBE
Structure: relaxed

Values from the calculation:
DOS at the Fermi energy = 0.00 states/eV/cell
Magnetic moment = 0.0 Bohr magnetons per cell
Theoretical density = 3.8 g/cm3
Final energy = -16.01 eV per formula unit
Formation energy from raw total energies = -1799 meV/atom
Symmetry = Cmcm, No. 63

```
data_KHgF3
_cell_length_a 8.624
_cell_length_b 8.624
_cell_length_c 5.240
_cell_angle_alpha 90.00
_cell_angle_beta 90.00
_cell_angle_gamma 137.93
_symmetry_space_group_name_H-M 'P 1'
_symmetry_Int_Tables_number 1
loop_
_symmetry_equiv_pos_as_xyz
'x,y,z'
loop_
_atom_site_label
_atom_site_fract_x
_atom_site_fract_y
_atom_site_fract_z
K1 0.181 0.819 0.750
K2 0.819 0.181 0.250
Hg1 0.391 0.609 0.750
Hg2 0.609 0.391 0.250
F1 0.033 0.418 0.750
F2 0.418 0.033 0.250
F3 0.500 0.500 0.000
F4 0.500 0.500 0.500
F5 0.582 0.967 0.750
F6 0.967 0.582 0.250
```

***

2.
Compound: K2HgF5
Source: the Alexandria database
Functional: PBE
Structure: relaxed

Values from the calculation:
DOS at the Fermi energy = 7.82 states/eV/cell
Magnetic moment = 4.1 Bohr magnetons per cell
Offset from the most stable computed form = 0.003 eV/atom
Theoretical density = 4.6 g/cm3
Final energy = -27.83 eV per formula unit
Formation energy from raw total energies = -1998 meV/atom
Symmetry = Pnma, No. 62

```
data_K2HgF5
_cell_length_a 10.477
_cell_length_b 7.799
_cell_length_c 6.620
_cell_angle_alpha 90.00
_cell_angle_beta 90.00
_cell_angle_gamma 90.00
_symmetry_space_group_name_H-M 'P 1'
_symmetry_Int_Tables_number 1
loop_
_symmetry_equiv_pos_as_xyz
'x,y,z'
loop_
_atom_site_label
_atom_site_fract_x
_atom_site_fract_y
_atom_site_fract_z
K1 0.164 0.006 0.064
K2 0.164 0.494 0.064
K3 0.336 0.506 0.564
K4 0.336 0.994 0.564
K5 0.664 0.006 0.436
K6 0.664 0.494 0.436
K7 0.836 0.506 0.936
K8 0.836 0.994 0.936
Hg1 0.003 0.750 0.451
Hg2 0.497 0.250 0.951
Hg3 0.503 0.750 0.049
Hg4 0.997 0.250 0.549
F1 0.019 0.250 0.890
F2 0.069 0.547 0.681
F3 0.069 0.953 0.681
F4 0.179 0.250 0.408
F5 0.196 0.750 0.354
F6 0.304 0.250 0.854
F7 0.321 0.750 0.908
F8 0.431 0.047 0.181
F9 0.431 0.453 0.181
F10 0.481 0.750 0.390
F11 0.519 0.250 0.610
F12 0.569 0.547 0.819
F13 0.569 0.953 0.819
F14 0.679 0.250 0.092
F15 0.696 0.750 0.146
F16 0.804 0.250 0.646
F17 0.821 0.750 0.592
F18 0.931 0.047 0.319
F19 0.931 0.453 0.319
F20 0.981 0.750 0.110
```

***

3.
Compound: K5Hg2F12
Source: the Alexandria database
Functional: PBE
Structure: relaxed

Values from the calculation:
DOS at the Fermi energy = 13.95 states/eV/cell
Magnetic moment = 2.1 Bohr magnetons per cell
Theoretical density = 3.6 g/cm3
Final energy = -65.39 eV per formula unit
Formation energy from raw total energies = -1939 meV/atom
Symmetry = C2/m, No. 12

```
data_K5Hg2F12
_cell_length_a 8.105
_cell_length_b 8.105
_cell_length_c 8.116
_cell_angle_alpha 114.02
_cell_angle_beta 114.02
_cell_angle_gamma 53.04
_symmetry_space_group_name_H-M 'P 1'
_symmetry_Int_Tables_number 1
loop_
_symmetry_equiv_pos_as_xyz
'x,y,z'
loop_
_atom_site_label
_atom_site_fract_x
_atom_site_fract_y
_atom_site_fract_z
K1 0.000 0.000 0.000
K2 0.285 0.285 0.075
K3 0.306 0.306 0.634
K4 0.694 0.694 0.366
K5 0.715 0.715 0.925
Hg1 0.249 0.751 0.500
Hg2 0.751 0.249 0.500
F1 0.006 0.006 0.682
F2 0.091 0.595 0.893
F3 0.096 0.579 0.380
F4 0.405 0.909 0.107
F5 0.421 0.904 0.620
F6 0.495 0.495 0.316
F7 0.505 0.505 0.684
F8 0.579 0.096 0.380
F9 0.595 0.091 0.893
F10 0.904 0.421 0.620
F11 0.909 0.405 0.107
F12 0.994 0.994 0.318
```

***

Question: Look up the DOS at the Fermi energy of the third one.
Answer: 13.95 states/eV/cell

***

Question: The lowest theoretical density belongs to which entry?
Answer: K5Hg2F12